! ScGaF | the Alexandria database | PBE | relaxed; values from VASP
! Spin magnetization in μB/atom: 0.00
! Uncorrected formation energy in meV per atom: -1877
! SG: P4/nmm, No. 129
! N(E_F) in states/eV/f.u.: 1.6
&SYSTEM
  ibrav = 0, nat = 6, ntyp = 3
/
ATOMIC_SPECIES
F 19.00 F.upf
Ga 69.72 Ga.upf
Sc 44.96 Sc.upf
CELL_PARAMETERS angstrom
-1.3467 2.5101 -2.1049
-2.6918 0.4491 2.2578
3.9063 5.1432 3.6341
ATOMIC_POSITIONS crystal
F 0.0000 0.0000 0.0000
F 0.5000 0.5000 0.0000
Ga 0.0000 0.5000 0.4221
Ga 0.5000 0.0000 0.5779
Sc 0.0000 0.5000 0.8113
Sc 0.5000 0.0000 0.1887


! ScGaF2 | the Alexandria database | PBE | relaxed; values from VASP
! Spin magnetization in μB/atom: 0.00
! Uncorrected formation energy in meV per atom: -2211
! Polymorph energy (0 for the lowest one) in meV per atom: 0.0
! SG: R-3m, No. 166
! N(E_F) in states/eV/f.u.: 2.6
&SYSTEM
  ibrav = 0, nat = 4, ntyp = 3
/
ATOMIC_SPECIES
Sc 44.96 Sc.upf
Ga 69.72 Ga.upf
F 19.00 F.upf
CELL_PARAMETERS angstrom
1.5281 -8.7637 3.3109
2.5668 -9.1277 0.4427
4.4168 -7.9852 2.6130
ATOMIC_POSITIONS crystal
Sc 0.5000 0.5000 0.5000
Ga 0.0000 0.0000 0.0000
F 0.8775 0.8775 0.8775
F 0.1225 0.1225 0.1225


! ScGaF2 | the Alexandria database | PBE | relaxed; values from VASP
! Spin magnetization in μB/atom: 0.00
! Uncorrected formation energy in meV per atom: -2108
! Polymorph energy (0 for the lowest one) in meV per atom: 103.0
! SG: I-42d, No. 122
! N(E_F) in states/eV/f.u.: 2.4
&SYSTEM
  ibrav = 0, nat = 8, ntyp = 3
/
ATOMIC_SPECIES
Sc 44.96 Sc.upf
Ga 69.72 Ga.upf
F 19.00 F.upf
CELL_PARAMETERS angstrom
5.2538 0.0000 0.0000
0.0000 5.2538 0.0000
2.6269 2.6269 5.9693
ATOMIC_POSITIONS crystal
Sc 0.5000 0.5000 0.0000
Sc 0.2500 0.7500 0.5000
Ga 0.0000 0.0000 0.0000
Ga 0.7500 0.2500 0.5000
F 0.4191 0.1250 0.2500
F 0.3309 0.6250 0.2500
F 0.3750 0.5809 0.7500
F 0.8750 0.6691 0.7500


! ScGaF2 | the Alexandria database | PBE | relaxed; values from VASP
! Spin magnetization in μB/atom: 0.00
! Uncorrected formation energy in meV per atom: -1912
! Polymorph energy (0 for the lowest one) in meV per atom: 299.0
! SG: R-3m, No. 166
! N(E_F) in states/eV/f.u.: 2.0
&SYSTEM
  ibrav = 0, nat = 4, ntyp = 3
/
ATOMIC_SPECIES
Sc 44.96 Sc.upf
Ga 69.72 Ga.upf
F 19.00 F.upf
CELL_PARAMETERS angstrom
-7.7780 1.4099 0.8922
-7.5845 -1.8704 1.5026
-6.9082 0.3240 3.9311
ATOMIC_POSITIONS crystal
Sc 0.0000 0.0000 0.0000
Ga 0.5000 0.5000 0.5000
F 0.9142 0.9142 0.9142
F 0.0858 0.0858 0.0858


! ScGa2F6 | the Alexandria database | PBE | relaxed; values from VASP
! Spin magnetization in μB/atom: 0.00
! Uncorrected formation energy in meV per atom: -2756
! SG: C2/m, No. 12
! N(E_F) in states/eV/f.u.: 2.0
&SYSTEM
  ibrav = 0, nat = 9, ntyp = 3
/
ATOMIC_SPECIES
Sc 44.96 Sc.upf
Ga 69.72 Ga.upf
F 19.00 F.upf
CELL_PARAMETERS angstrom
-0.8827 -0.2501 3.6968
2.2931 -4.6382 -1.7285
5.3956 3.5608 1.5291
ATOMIC_POSITIONS crystal
Sc 0.0000 0.0000 0.5000
Ga 0.7409 0.4817 0.8565
Ga 0.2591 0.5183 0.1435
F 0.9003 0.8006 0.7435
F 0.7989 0.5978 0.3389
F 0.2011 0.4022 0.6611
F 0.5568 0.1136 0.6729
F 0.4432 0.8864 0.3271
F 0.0997 0.1994 0.2565


! ScGaF2 | the Alexandria database | PBE | relaxed; values from VASP
! Spin magnetization in μB/atom: 0.46
! Uncorrected formation energy in meV per atom: -1586
! Polymorph energy (0 for the lowest one) in meV per atom: 624.8
! SG: Fm-3m, No. 225
! N(E_F) in states/eV/f.u.: 2.1
&SYSTEM
  ibrav = 0, nat = 4, ntyp = 3
/
ATOMIC_SPECIES
Sc 44.96 Sc.upf
Ga 69.72 Ga.upf
F 19.00 F.upf
CELL_PARAMETERS angstrom
0.0000 3.0703 3.0703
3.0703 0.0000 3.0703
3.0703 3.0703 0.0000
ATOMIC_POSITIONS crystal
Sc 0.0000 0.0000 0.0000
Ga 0.5000 0.5000 0.5000
F 0.2500 0.2500 0.2500
F 0.7500 0.7500 0.7500